Entry 1:
NaInCu3 | PBE | relaxed

Cell lengths 4.9482, 4.9482, 4.9482 Å; angles 90.00, 90.00, 90.00 degrees
Closest atoms and distances in Å follow each position.
Space group Pm-3m (No. 221)
One atom of each set of equivalent atoms:
1 Na 0.0000 0.0000 0.0000  12 Cu 3.50
2 In 0.5000 0.5000 0.5000  6 Cu 2.47
3 Cu 0.0000 0.5000 0.5000  2 In 2.47

energy above the most stable polymorph in this dataset	549	meV/atom
DFT formation energy	548	meV per atom
crystal system	cubic

=====

Entry 2:
AcTbCe2Se5 | PBE | relaxed

Cell lengths 5.1753, 5.1753, 11.3902 Å; angles 90.00, 90.00, 90.00 degrees
Closest atoms and distances in Å follow each position.
Space group P4/mmm (No. 123)
One atom of each set of equivalent atoms:
1 Ac 0.0000 0.0000 0.0000  2 Se 2.90
2 Tb 0.0000 0.0000 0.5000  6 Se 2.59-2.79
3 Ce 0.5000 0.5000 0.3335  4 Se 3.21
4 Se 0.0000 0.0000 0.2550  1 Tb 2.79, 1 Ac 2.90
5 Se 0.0000 0.5000 0.5000  2 Tb 2.59
6 Se 0.5000 0.5000 0.0000  4 Ac 3.66, 2 Ce 3.80

VASP energy	-50.26	eV per cell
crystal system	tetragonal

=====

Entry 3:
Be2Co2Ni | PBE | relaxed

Cell lengths 6.3174, 6.3174, 2.4502 Å; angles 90.00, 90.00, 90.00 degrees
Closest atoms and distances in Å follow each position.
Space group P4/mbm (No. 127)
One atom of each set of equivalent atoms:
1 Be 0.1718 0.3282 0.0000  6 Co 2.18-2.27
2 Co 0.1267 0.6267 0.5000  6 Be 2.18-2.27, 1 Co 2.26
3 Ni 0.0000 0.0000 0.5000  2 Ni 2.45, 4 Co 2.49, 8 Be 2.64

energy above the most stable polymorph in this dataset	168	meV/atom
DFT formation energy	4	meV per atom
crystal system	tetragonal